First-principles (PBE with a Hubbard U) data for crystalline Mn5VP6O24 at its relaxed geometry, as listed in the Alexandria database.

The structure in CIF format:
```
data_Mn5VP6O24
_space_group_name_H-M_alt 'R 3'
_space_group_IT_number 146
_space_group_name_Hall 'R 3'
_cell_length_a 8.6092
_cell_length_b 8.6092
_cell_length_c 21.1066
_cell_angle_alpha 90.00
_cell_angle_beta 90.00
_cell_angle_gamma 120.00
loop_
_atom_site_label
_atom_site_type_symbol
_atom_site_fract_x
_atom_site_fract_y
_atom_site_fract_z
Mn1 Mn 0.0000 0.0000 0.0000
Mn2 Mn 0.0000 0.0000 0.1437
Mn3 Mn 0.0000 0.0000 0.2875
Mn4 Mn 0.0000 0.0000 0.6434
Mn5 Mn 0.0000 0.0000 0.7883
V1 V 0.0000 0.0000 0.4993
P1 P 0.0011 0.2888 0.3928
P2 P 0.0019 0.7062 0.8945
O1 O 0.0083 0.8312 0.5623
O2 O 0.0121 0.1945 0.4536
O3 O 0.0148 0.8053 0.8333
O4 O 0.0304 0.1934 0.0677
O5 O 0.1394 0.6811 0.6220
O6 O 0.1499 0.4765 0.9994
O7 O 0.1701 0.4761 0.3855
O8 O 0.1715 0.6815 0.8924
```

Values from the calculation:
raw total energy = -7.404 eV/atom